Density functional theory data (PBE) for an optimized crystal structure of Ta4Ni.

The space group is Im-3m (No. 229) and the conventional cell measures 5.789, 5.789 and 5.789 Å, with angles of 90.00, 90.00 and 90.00 degrees. Symmetry generates all atoms from Ta at (0.250, 0.250, 0.250) and Ni at (0.000, 0.000, 0.000).

As for the energy above the most stable polymorph in this dataset: 0 meV per atom. The calculation puts the density of states at the Fermi level at 3.1 states/eV/f.u. The calculation puts the total energy at -9.877 eV/atom. The calculation puts the energy of formation at 0.761 eV per atom. The value obtained for the spin magnetization is 0.0 μB per formula unit.

Density functional theory data (PBE) for an optimized crystal structure of Ta3Ni4.

The space group is I4/mmm (No. 139) and the conventional cell measures 3.169, 3.169 and 19.568 Å, with angles of 90.00, 90.00 and 90.00 degrees. Symmetry generates all atoms from Ta at (0.000, 0.000, 0.000), Ta at (0.000, 0.000, 0.297), Ni at (0.000, 0.000, 0.136) and Ni at (0.000, 0.000, 0.433).

As for the energy above the most stable polymorph in this dataset: 0 meV per atom. The calculation puts the density of states at the Fermi level at 3.9 states/eV/f.u. The calculation puts the total energy at -8.668 eV/atom. The calculation puts the energy of formation at -0.285 eV per atom. The value obtained for the spin magnetization is 0.0 μB per formula unit.

Density functional theory data (PBE) for an optimized crystal structure of TaNi7.

The space group is P-6m2 (No. 187) and the conventional cell measures 5.1138, 5.1138 and 4.1173 Å, with angles of 90.00, 90.00 and 120.00 degrees. Symmetry generates all atoms from Ta at (0.0000, 0.0000, 0.0000), Ni at (0.0036, 0.5018, 0.0000), Ni at (0.3333, 0.6667, 0.5000) and Ni at (0.3448, 0.1724, 0.5000).

As for the energy above the most stable polymorph in this dataset: 0 meV per atom. The calculation puts the density of states at the Fermi level at 13.0 states/eV/f.u. The calculation puts the total energy at -6.680 eV/atom. The calculation puts the energy of formation at -0.140 eV per atom. The value obtained for the spin magnetization is 1.0 μB per formula unit.